Below is crystalline DyZrMn17 at its relaxed geometry, with properties calculated at the PBE-GGA level.

The theoretical density is 8.060 g/cm3. The calculation puts the density of states at the Fermi level at 18.5 states/eV/f.u. For the magnetization, the calculation gives 0.25 μB/atom. Its symmetry is R3m. For the electronic total energy, the calculation gives -0.32753 hartree per atom. For the energy of formation from the pure elements, the calculation gives -0.307 eV/f.u.

a = 6.268 Å, b = 6.268 Å, c = 6.268 Å
α = 86.16°, β = 86.16°, γ = 86.16°
Site moments in Bohr magnetons follow the coordinates.
Positions (direct):
Mn: 0.277 0.999 0.724  -0.81
Mn: 0.999 0.724 0.277  -0.81
Mn: 0.724 0.277 0.999  -0.81
Mn: 0.724 0.999 0.277  -0.81
Mn: 0.898 0.898 0.898  -1.87
Mn: 0.000 0.501 0.000  0.29
Mn: 0.501 0.000 0.000  0.29
Mn: 0.360 0.360 0.872  2.14
Mn: 0.099 0.099 0.099  -1.92
Mn: 0.872 0.360 0.360  2.14
Mn: 0.000 0.000 0.501  0.29
Mn: 0.643 0.123 0.643  2.16
Mn: 0.999 0.277 0.724  -0.81
Mn: 0.123 0.643 0.643  2.16
Mn: 0.277 0.724 0.999  -0.81
Mn: 0.360 0.872 0.360  2.14
Mn: 0.643 0.643 0.123  2.16
Zr: 0.645 0.645 0.645  -0.18
Dy: 0.356 0.356 0.356  -0.11